! Zr2SiPb2 PBE relaxed; values from VASP
! Size of the total moment (Bohr magnetons per cell): 0.00
! E_tot (eV per atom): -6.1727
! SG: P4/mbm (127)
&SYSTEM
  ibrav = 0, nat = 10, ntyp = 3
/
ATOMIC_SPECIES
Zr 91.22 Zr.upf
Si 28.09 Si.upf
Pb 207.20 Pb.upf
CELL_PARAMETERS angstrom
7.129 0.000 0.000
0.000 7.129 0.000
0.000 0.000 4.700
ATOMIC_POSITIONS crystal
Zr 0.164 0.336 0.000
Zr 0.336 0.836 0.000
Zr 0.664 0.164 0.000
Zr 0.836 0.664 0.000
Si 0.000 0.000 0.000
Si 0.500 0.500 0.000
Pb 0.156 0.656 0.500
Pb 0.344 0.156 0.500
Pb 0.656 0.844 0.500
Pb 0.844 0.344 0.500


! ZrSiPb2 PBE relaxed; values from VASP
! Size of the total moment (Bohr magnetons per cell): 0.00
! E_tot (eV per atom): -5.1962
! SG: R3m (160)
&SYSTEM
  ibrav = 0, nat = 4, ntyp = 3
/
ATOMIC_SPECIES
Zr 91.22 Zr.upf
Si 28.09 Si.upf
Pb 207.20 Pb.upf
CELL_PARAMETERS angstrom
1.631 0.942 11.063
-1.631 0.942 11.063
0.000 -1.883 11.063
ATOMIC_POSITIONS crystal
Zr 0.000 0.000 0.000
Si 0.269 0.269 0.269
Pb 0.525 0.525 0.525
Pb 0.750 0.750 0.750